Crystalline Sr4MgMn2Ga2O11 at its relaxed geometry. Source: the Alexandria database, functional PBE with a Hubbard U.

## Properties
energy above the lowest structure with this stoichiometry	0.009	eV per atom
energy	-6.372	eV per atom
calculated volume	275.19	Å³/cell

a b c (Å): 5.6661 6.4908 8.4883
angles (deg): 68.62 71.25 84.35
Closest atoms and distances in Å follow each position.
Space group P1 (No. 1)
Unique sites:
Sr: 0.0000 0.0000 0.0000 x1  6 O 2.48-2.74
Sr: 0.1588 0.3805 0.5244 x1  5 O 2.48-2.67
Sr: 0.5211 0.5688 0.9649 x1  3 O 2.45-2.54
Sr: 0.8359 0.9688 0.4630 x1  6 O 2.41-2.59
Mg: 0.6084 0.5758 0.5468 x1  5 O 1.95-2.12
Mn: 0.1173 0.7268 0.7349 x1  3 O 1.93-2.03
Mn: 0.5599 0.1427 0.7685 x1  5 O 1.93-2.12
Ga: 0.4221 0.0490 0.2407 x1  4 O 1.87-1.92
Ga: 0.8809 0.4447 0.2279 x1  4 O 1.86-2.03
O: 0.1712 0.2665 0.2643 x1  2 Ga 1.92-1.96
O: 0.3357 0.3937 0.7761 x1  1 Mn 1.97, 1 Mg 2.08
O: 0.3489 0.8029 0.4582 x1  1 Ga 1.90, 1 Mg 2.09
O: 0.3678 0.8842 0.7596 x1  2 Mn 1.93-2.12
O: 0.4668 0.9859 0.0351 x1  1 Ga 1.87, 1 Mn 2.02
O: 0.6322 0.2993 0.5011 x1  1 Mg 1.95, 1 Mn 2.04
O: 0.7110 0.2155 0.1876 x1  2 Ga 1.89-2.03
O: 0.8525 0.5939 0.6849 x1  1 Mn 2.03, 1 Mg 2.12
O: 0.8967 0.0362 0.7193 x1  1 Mn 1.93
O: 0.8969 0.6795 0.3104 x1  1 Ga 1.91, 1 Mg 2.07
O: 0.9401 0.6307 0.9919 x1  1 Ga 1.86, 1 Mn 1.97